Tb3Ho2Ag3 | PBE | relaxed

Calculated values
The electronic total energy comes out at -4.17 eV per atom. Its space group is No. 71. The calculation puts the size of the total moment at 0.00 Bohr magnetons per cell. For the density of states at the Fermi level, the calculation gives 6.79 states/eV per cell.

abc: 3.6644 5.2706 11.2472
angles: 103.55 99.38 90.00
Sites, in units of the cell vectors:
1 Tb 0.6210 0.6210 0.2419
2 Tb 0.3790 0.3790 0.7581
3 Tb 0.5000 0.0000 0.0000
4 Ho 0.7317 0.2317 0.4634
5 Ho 0.2683 0.7683 0.5366
6 Ag 0.1181 0.1181 0.2361
7 Ag 0.0000 0.5000 0.0000
8 Ag 0.8819 0.8819 0.7639



TbHo2Ag2 | PBE | relaxed

Calculated values
The electronic total energy comes out at -4.06 eV per atom. Its space group is No. 11. The calculation puts the size of the total moment at 0.00 Bohr magnetons per cell. For the density of states at the Fermi level, the calculation gives 9.67 states/eV per cell. As for the energy relative to the lowest polymorph listed for this composition: 0.0820 eV/atom.

abc: 5.0103 6.3343 8.1649
angles: 83.90 90.00 90.00
Sites, in units of the cell vectors:
1 Tb 0.2500 0.6876 0.2522
2 Tb 0.7500 0.3124 0.7478
3 Ho 0.2500 0.8987 0.8566
4 Ho 0.7500 0.1013 0.1434
5 Ho 0.2500 0.1602 0.4474
6 Ho 0.7500 0.8398 0.5526
7 Ag 0.2500 0.5713 0.6136
8 Ag 0.7500 0.4287 0.3864
9 Ag 0.2500 0.3651 0.9803
10 Ag 0.7500 0.6349 0.0197



Tb2HoAg3 | PBE | relaxed

Calculated values
The electronic total energy comes out at -4.05 eV per atom. Its space group is No. 123. The calculation puts the size of the total moment at 0.00 Bohr magnetons per cell. For the density of states at the Fermi level, the calculation gives 3.03 states/eV per cell.

abc: 3.6272 3.6272 11.0034
angles: 90.00 90.00 90.00
Sites, in units of the cell vectors:
1 Tb 0.5000 0.5000 0.8321
2 Tb 0.5000 0.5000 0.1679
3 Ho 0.5000 0.5000 0.5000
4 Ag 0.0000 0.0000 0.0000
5 Ag 0.0000 0.0000 0.6633
6 Ag 0.0000 0.0000 0.3367



TbHo3Ag2 | PBE | relaxed

Calculated values
The electronic total energy comes out at -4.21 eV per atom. Its space group is No. 123. The calculation puts the size of the total moment at 0.00 Bohr magnetons per cell. For the density of states at the Fermi level, the calculation gives 5.59 states/eV per cell. As for the energy relative to the lowest polymorph listed for this composition: 0.0000 eV/atom.

abc: 3.6041 3.6041 12.2420
angles: 90.00 90.00 90.00
Sites, in units of the cell vectors:
1 Tb 0.5000 0.5000 0.5000
2 Ho 0.0000 0.0000 0.0000
3 Ho 0.0000 0.0000 0.7027
4 Ho 0.0000 0.0000 0.2973
5 Ag 0.5000 0.5000 0.8512
6 Ag 0.5000 0.5000 0.1488



Tb2HoAg | PBE | relaxed

Calculated values
The electronic total energy comes out at -4.18 eV per atom. Its space group is No. 160. The calculation puts the size of the total moment at 0.00 Bohr magnetons per cell. For the density of states at the Fermi level, the calculation gives 5.36 states/eV per cell. As for the energy relative to the lowest polymorph listed for this composition: 0.1149 eV/atom.

abc: 3.5821 3.5821 10.5837
angles: 80.27 80.27 59.98
Sites, in units of the cell vectors:
1 Tb 0.0753 0.0753 0.7740
2 Tb 0.2581 0.2581 0.2261
3 Ho 0.4998 0.4998 0.5006
4 Ag 0.6669 0.6669 0.9993



TbHo2Ag | PBE | relaxed

Calculated values
The electronic total energy comes out at -4.23 eV per atom. Its space group is No. 63. The calculation puts the size of the total moment at 0.00 Bohr magnetons per cell. For the density of states at the Fermi level, the calculation gives 9.78 states/eV per cell. As for the energy relative to the lowest polymorph listed for this composition: 0.0620 eV/atom.

abc: 4.8260 6.1985 8.3228
angles: 90.00 90.00 112.86
Sites, in units of the cell vectors:
1 Tb 0.9486 0.8970 0.2500
2 Tb 0.0514 0.1030 0.7500
3 Ho 0.3565 0.7132 0.5447
4 Ho 0.6435 0.2868 0.4553
5 Ho 0.3565 0.7132 0.9553
6 Ho 0.6435 0.2868 0.0447
7 Ag 0.7793 0.5587 0.7500
8 Ag 0.2207 0.4413 0.2500